(1)
Here is a relaxed structure of YFe2SiB from OQMD. Energies are from PBE.

The raw total energy comes out at -37.65 eV/f.u. The space group is I4mm (107). The calculation puts the volume at 66.5 Å³ per cell.

abc: 5.432 5.432 5.432
angles: 139.67 139.67 58.36
Site moments in Bohr magnetons follow the coordinates.
Fractional positions:
B  0.360  0.360  0.000  -0.06
Y  0.992  0.992  0.000  -0.03
Fe  0.261  0.761  0.500  0.80
Fe  0.761  0.261  0.500  0.79
Si  0.627  0.627  0.000  -0.03

***

(2)
Here is a relaxed structure of Na4Zn2CuNi from OQMD. Energies are from PBE.

The raw total energy comes out at -15.25 eV/f.u. The space group is P-4m2 (115). The calculation puts the volume at 143.2 Å³ per cell.

abc: 4.655 4.655 6.611
angles: 90.00 90.00 90.00
Fractional positions:
Zn  0.000  0.500  0.767
Zn  0.500  0.000  0.233
Na  0.500  0.500  0.500
Na  0.000  0.500  0.248
Na  0.000  0.000  0.000
Na  0.500  0.000  0.752
Cu  0.000  0.000  0.500
Ni  0.500  0.500  0.000

***

(3)
Here is a relaxed structure of Lu5N from OQMD. Energies are from PBE.

The raw total energy comes out at -22.64 eV/f.u. The space group is P6/mmm (191). The calculation puts the volume at 186.3 Å³ per cell.

abc: 6.070 6.070 5.838
angles: 90.00 90.00 120.00
Site moments in Bohr magnetons follow the coordinates.
Fractional positions:
Lu  0.000  0.500  0.500  0.13
Lu  0.500  0.000  0.500  0.14
Lu  0.667  0.333  0.000  0.21
Lu  0.500  0.500  0.500  0.15
Lu  0.333  0.667  0.000  0.21
N  0.000  0.000  0.000  -0.80

***

(4)
Here is a relaxed structure of LiTlFeRe from OQMD. Energies are from PBE.

The value obtained for the polymorph energy (0 for the lowest one) is 0 meV per atom. The space group is F-43m (216). The calculation puts the volume at 56.5 Å³ per cell.

abc: 4.306 4.306 4.306
angles: 60.00 60.00 60.00
Fractional positions:
Re  0.500  0.500  0.500
Tl  0.000  0.000  0.000
Li  0.250  0.250  0.250
Fe  0.750  0.750  0.750

***

(5)
Here is a relaxed structure of LaGa6Cu from OQMD. Energies are from PBE.

The raw total energy comes out at -28.13 eV/f.u. The space group is P-6m2 (187). The calculation puts the volume at 155.8 Å³ per cell.

abc: 6.448 6.448 4.327
angles: 90.00 90.00 120.00
Fractional positions:
Cu  0.333  0.667  0.000
Ga  0.806  0.194  0.000
Ga  0.806  0.611  0.000
Ga  0.480  0.961  0.500
Ga  0.389  0.194  0.000
Ga  0.039  0.520  0.500
Ga  0.480  0.520  0.500
La  0.000  0.000  0.500

***

(6)
Here is a relaxed structure of Pm3PSe2 from OQMD. Energies are from PBE.

The raw total energy comes out at -37.52 eV/f.u. The space group is Immm (71). The calculation puts the volume at 154.7 Å³ per cell.

abc: 7.289 7.289 7.289
angles: 146.96 132.35 59.21
Fractional positions:
Pm  0.847  0.347  0.500
Pm  0.153  0.653  0.500
Pm  0.500  0.000  0.500
P  0.000  0.000  0.000
Se  0.330  0.330  0.000
Se  0.670  0.670  0.000

***

(7)
Here is a relaxed structure of PrNdPd4Pb2 from OQMD. Energies are from PBE.

The raw total energy comes out at -42.94 eV/f.u. The space group is P-6m2 (187). The calculation puts the volume at 177.6 Å³ per cell.

abc: 4.741 4.741 9.123
angles: 90.00 90.00 120.00
Fractional positions:
Pr  0.333  0.667  0.500
Pd  0.333  0.667  0.839
Pd  0.000  0.000  0.663
Pd  0.333  0.667  0.161
Pd  0.000  0.000  0.337
Pb  0.667  0.333  0.248
Pb  0.667  0.333  0.752
Nd  0.000  0.000  0.000

***

(8)
Here is a relaxed structure of YCuSiPt from OQMD. Energies are from PBE.

The value obtained for the polymorph energy (0 for the lowest one) is 152 meV per atom. The space group is F-43m (216). The calculation puts the volume at 70.1 Å³ per cell.

abc: 4.629 4.629 4.629
angles: 60.00 60.00 60.00
Fractional positions:
Pt  0.000  0.000  0.000
Y  0.250  0.250  0.250
Si  0.500  0.500  0.500
Cu  0.750  0.750  0.750

***

(9)
Here is a relaxed structure of AcFeTc from OQMD. Energies are from PBE.

Its formation energy from the elements is 0.7789 eV per atom. The space group is F-43m (216). The calculation puts the volume at 67.8 Å³ per cell.

abc: 4.577 4.577 4.577
angles: 60.00 60.00 60.00
Site moments in Bohr magnetons follow the coordinates.
Fractional positions:
Tc  0.750  0.750  0.750  1.60
Ac  0.250  0.250  0.250  0.00
Fe  0.000  0.000  0.000  2.33

***

(10)
Here is a relaxed structure of Tm12InNi6 from OQMD. Energies are from PBE.

The raw total energy comes out at -97.39 eV/f.u. The space group is Im-3 (204). The calculation puts the volume at 434.7 Å³ per cell.

abc: 8.266 8.266 8.266
angles: 109.47 109.47 109.47
Fractional positions:
Tm  0.302  0.812  0.114
Tm  0.511  0.698  0.812
Tm  0.188  0.886  0.698
Tm  0.114  0.302  0.812
Tm  0.886  0.698  0.188
Tm  0.188  0.489  0.302
Tm  0.812  0.114  0.302
Tm  0.698  0.812  0.511
Tm  0.812  0.511  0.698
Tm  0.489  0.302  0.188
Tm  0.302  0.188  0.489
Tm  0.698  0.188  0.886
Ni  0.376  0.876  0.500
Ni  0.124  0.500  0.624
Ni  0.624  0.124  0.500
Ni  0.500  0.376  0.876
Ni  0.500  0.624  0.124
Ni  0.876  0.500  0.376
In  0.000  0.000  0.000

***

(11)
Here is a relaxed structure of SmHgAs from OQMD. Energies are from PBE.

The value obtained for the polymorph energy (0 for the lowest one) is 125 meV per atom. The space group is F-43m (216). The calculation puts the volume at 82.3 Å³ per cell.

abc: 4.883 4.883 4.883
angles: 60.00 60.00 60.00
Fractional positions:
Hg  0.250  0.250  0.250
Sm  0.750  0.750  0.750
As  0.000  0.000  0.000

***

(12)
Here is a relaxed structure of KReB from OQMD. Energies are from PBE.

The value obtained for the polymorph energy (0 for the lowest one) is 255 meV per atom. The space group is F-43m (216). The calculation puts the volume at 51.8 Å³ per cell.

abc: 4.183 4.183 4.183
angles: 60.00 60.00 60.00
Fractional positions:
B  0.250  0.250  0.250
Re  0.000  0.000  0.000
K  0.750  0.750  0.750

***

(13)
Here is a relaxed structure of Ta4AlBiC2 from OQMD. Energies are from PBE.

The raw total energy comes out at -75.75 eV/f.u. The space group is P-6m2 (187). The calculation puts the volume at 125.4 Å³ per cell.

abc: 3.230 3.230 13.878
angles: 90.00 90.00 120.00
Fractional positions:
Al  0.000  0.000  0.000
C  0.667  0.333  0.758
C  0.667  0.333  0.242
Ta  0.000  0.000  0.325
Ta  0.000  0.000  0.675
Ta  0.333  0.667  0.157
Ta  0.333  0.667  0.843
Bi  0.333  0.667  0.500

***

(14)
Here is a relaxed structure of Tb2Ge4F from OQMD. Energies are from PBE.

The raw total energy comes out at -33.43 eV/f.u. The space group is P-3m1 (164). The calculation puts the volume at 150.3 Å³ per cell.

abc: 4.157 4.157 10.043
angles: 90.00 90.00 120.00
Site moments in Bohr magnetons follow the coordinates.
Fractional positions:
Tb  0.667  0.333  0.747  0.20
Tb  0.333  0.667  0.253  0.20
Ge  0.333  0.667  0.548  0.01
Ge  0.667  0.333  0.057  0.02
Ge  0.333  0.667  0.943  0.02
Ge  0.667  0.333  0.452  0.01
F  0.000  0.000  0.500  0.01

***

(15)
Here is a relaxed structure of CsThPd from OQMD. Energies are from PBE.

The raw total energy comes out at -10.13 eV/f.u. The space group is F-43m (216). The calculation puts the volume at 89.8 Å³ per cell.

abc: 5.026 5.026 5.026
angles: 60.00 60.00 60.00
Fractional positions:
Th  0.250  0.250  0.250
Pd  0.750  0.750  0.750
Cs  0.000  0.000  0.000

***

(16)
Here is a relaxed structure of LuSc3N from OQMD. Energies are from PBE.

The raw total energy comes out at -34.58 eV/f.u. The space group is Pm-3m (221). The calculation puts the volume at 97.4 Å³ per cell.

abc: 4.602 4.602 4.602
angles: 90.00 90.00 90.00
Site moments in Bohr magnetons follow the coordinates.
Fractional positions:
Sc  0.000  0.500  0.500  0.06
Sc  0.500  0.000  0.500  0.07
Sc  0.500  0.500  0.000  0.09
N  0.500  0.500  0.500  -0.01
Lu  0.000  0.000  0.000  0.10

***

(17)
Here is a relaxed structure of LiScTlCd from OQMD. Energies are from PBE.

The value obtained for the polymorph energy (0 for the lowest one) is 139 meV per atom. The space group is F-43m (216). The calculation puts the volume at 83.0 Å³ per cell.

abc: 4.897 4.897 4.897
angles: 60.00 60.00 60.00
Fractional positions:
Cd  0.000  0.000  0.000
Tl  0.250  0.250  0.250
Li  0.750  0.750  0.750
Sc  0.500  0.500  0.500

***

(18)
Here is a relaxed structure of DyScCCl2 from OQMD. Energies are from PBE.

The raw total energy comes out at -31.40 eV/f.u. The space group is P3m1 (156). The calculation puts the volume at 104.9 Å³ per cell.

abc: 3.584 3.584 9.428
angles: 90.00 90.00 120.00
Fractional positions:
Cl  0.667  0.333  0.826
Cl  0.333  0.667  0.189
Sc  0.667  0.333  0.360
Dy  0.333  0.667  0.634
C  0.000  0.000  0.491

***

(19)
Here is a relaxed structure of ZrCoCuAs from OQMD. Energies are from PBE.

The value obtained for the polymorph energy (0 for the lowest one) is 70 meV per atom. The space group is F-43m (216). The calculation puts the volume at 60.8 Å³ per cell.

abc: 4.413 4.413 4.413
angles: 60.00 60.00 60.00
Fractional positions:
Cu  0.750  0.750  0.750
Co  0.500  0.500  0.500
As  0.000  0.000  0.000
Zr  0.250  0.250  0.250

***

(20)
Here is a relaxed structure of Dy4Pd3Pt from OQMD. Energies are from PBE.

Its formation energy from the elements is -1.0225 eV per atom. The space group is Pm (6). The calculation puts the volume at 177.1 Å³ per cell.

abc: 5.648 4.416 7.101
angles: 90.00 90.05 90.00
Fractional positions:
Dy  0.140  0.000  0.680
Dy  0.361  0.000  0.181
Dy  0.642  0.500  0.815
Dy  0.857  0.500  0.322
Pt  0.654  0.000  0.544
Pd  0.849  0.000  0.045
Pd  0.153  0.500  0.958
Pd  0.343  0.500  0.454

***

(21)
Here is a relaxed structure of PmPrSe2I2 from OQMD. Energies are from PBE.

The raw total energy comes out at -29.15 eV/f.u. The space group is P4mm (99). The calculation puts the volume at 195.5 Å³ per cell.

abc: 5.016 5.016 7.771
angles: 90.00 90.00 90.00
Fractional positions:
Se  0.500  0.000  0.997
Se  0.000  0.500  0.997
I  0.500  0.500  0.616
I  0.000  0.000  0.387
Pr  0.500  0.500  0.198
Pm  0.000  0.000  0.805

***

(22)
Here is a relaxed structure of DyCuSi2Ag from OQMD. Energies are from PBE.

The raw total energy comes out at -24.28 eV/f.u. The space group is I-4m2 (119). The calculation puts the volume at 85.7 Å³ per cell.

abc: 5.928 5.928 5.928
angles: 139.90 139.90 58.01
Fractional positions:
Si  0.639  0.139  0.500
Si  0.861  0.361  0.500
Cu  0.500  0.500  0.000
Ag  0.000  0.000  0.000
Dy  0.250  0.750  0.500

***

(23)
Here is a relaxed structure of SrAsPtAu from OQMD. Energies are from PBE.

The value obtained for the polymorph energy (0 for the lowest one) is 53 meV per atom. The space group is F-43m (216). The calculation puts the volume at 85.1 Å³ per cell.

abc: 4.936 4.936 4.936
angles: 60.00 60.00 60.00
Fractional positions:
Sr  0.000  0.000  0.000
Pt  0.250  0.250  0.250
As  0.500  0.500  0.500
Au  0.750  0.750  0.750

***

(24)
Here is a relaxed structure of HoGeHO4 from OQMD. Energies are from PBE.

The value obtained for the polymorph energy (0 for the lowest one) is 515 meV per atom. The space group is Pnma (62). The calculation puts the volume at 326.6 Å³ per cell.

abc: 4.930 11.060 5.990
angles: 90.00 90.00 90.00
Fractional positions:
O  0.846  0.337  0.538
O  0.723  0.066  0.750
O  0.777  0.566  0.750
O  0.154  0.663  0.462
O  0.154  0.663  0.038
O  0.656  0.554  0.250
O  0.156  0.946  0.750
O  0.346  0.163  0.462
O  0.654  0.837  0.962
O  0.223  0.434  0.250
O  0.277  0.934  0.250
O  0.346  0.163  0.038
O  0.844  0.054  0.250
O  0.846  0.337  0.962
O  0.654  0.837  0.538
O  0.344  0.446  0.750
H  0.000  0.000  0.000
H  0.000  0.000  0.500
H  0.500  0.500  0.000
H  0.500  0.500  0.500
Ge  0.975  0.435  0.750
Ge  0.475  0.065  0.250
Ge  0.525  0.935  0.750
Ge  0.025  0.565  0.250
Ho  0.974  0.745  0.750
Ho  0.526  0.245  0.750
Ho  0.474  0.755  0.250
Ho  0.026  0.255  0.250

***

(25)
Here is a relaxed structure of LuSc2Mo from OQMD. Energies are from PBE.

Its formation energy from the elements is 0.2249 eV per atom. The space group is F-43m (216). The calculation puts the volume at 84.4 Å³ per cell.

abc: 4.923 4.923 4.923
angles: 60.00 60.00 60.00
Fractional positions:
Lu  0.250  0.250  0.250
Sc  0.750  0.750  0.750
Sc  0.000  0.000  0.000
Mo  0.500  0.500  0.500

***

(26)
Here is a relaxed structure of Li4PdPb2Au from OQMD. Energies are from PBE.

The raw total energy comes out at -26.87 eV/f.u. The space group is P-4m2 (115). The calculation puts the volume at 143.5 Å³ per cell.

abc: 4.662 4.662 6.603
angles: 90.00 90.00 90.00
Fractional positions:
Li  0.000  0.500  0.749
Li  0.000  0.000  0.500
Li  0.500  0.000  0.251
Li  0.500  0.500  0.000
Pb  0.500  0.000  0.738
Pb  0.000  0.500  0.262
Au  0.000  0.000  0.000
Pd  0.500  0.500  0.500